Here is crystalline ReBW at its relaxed geometry from Alexandria. Energies are from PBE.

a = 3.135 Å, b = 15.262 Å, c = 3.038 Å
α = 90.00°, β = 90.00°, γ = 90.00°
Fractional coordinates of all 12 atoms:
Re 0.000 0.195 0.250
Re 0.000 0.805 0.750
Re 0.500 0.305 0.750
Re 0.500 0.695 0.250
B 0.000 0.034 0.250
B 0.000 0.966 0.750
B 0.500 0.466 0.750
B 0.500 0.534 0.250
W 0.000 0.418 0.250
W 0.000 0.582 0.750
W 0.500 0.082 0.750
W 0.500 0.918 0.250

Calculated values
- Density of states at the Fermi level: 0.51 states/eV per atom
- Calculated formation energy: -0.171 eV/atom
- E above lowest polymorph: 109 meV per atom
- Raw total energy: -32.59 eV per formula unit
- Symmetry: Cmcm